Record 1
{
  "formula": "ErTm4Ag2",
  "functional": "PBE",
  "state": "relaxed",
  "cell": [[2.4752, 1.4290, 9.8611], [-2.4752, 1.4290, 9.8611], [0.0000, -2.8581, 9.8611]],
  "species": ["Er", "Tm", "Tm", "Tm", "Tm", "Ag", "Ag"],
  "frac_coords": [[0.0000, 0.0000, 0.0000], [0.2023, 0.2023, 0.2023], [0.3970, 0.3970, 0.3970], [0.6030, 0.6030, 0.6030], [0.7977, 0.7977, 0.7977], [0.1009, 0.1009, 0.1009], [0.8991, 0.8991, 0.8991]],
  "energy_ev_per_atom": -3.87,
  "delta_e_f_ev_per_atom": 0.16
}

***

Record 2
{
  "formula": "YErTmAg",
  "functional": "PBE",
  "state": "relaxed",
  "cell": [[3.5363, 0.0000, 0.0000], [0.0000, 3.5363, 0.0000], [0.0000, 0.0000, 8.8079]],
  "species": ["Y", "Er", "Tm", "Ag"],
  "frac_coords": [[0.0000, 0.0000, 0.0000], [0.5000, 0.5000, 0.2873], [0.0000, 0.0000, 0.5681], [0.5000, 0.5000, 0.7748]],
  "energy_ev_per_atom": -4.72,
  "delta_e_f_ev_per_atom": -0.13
}

***

Record 3
{
  "formula": "Y2ErAg2",
  "functional": "PBE",
  "state": "relaxed",
  "cell": [[1.8184, -13.4257, 0.0000], [1.8184, 13.4257, 0.0000], [0.0000, 0.0000, 5.2277]],
  "species": ["Y", "Y", "Y", "Y", "Er", "Er", "Ag", "Ag", "Ag", "Ag"],
  "frac_coords": [[0.0473, 0.9527, 0.7500], [0.2339, 0.7661, 0.7500], [0.7661, 0.2339, 0.2500], [0.9527, 0.0473, 0.2500], [0.1452, 0.8548, 0.2500], [0.8548, 0.1452, 0.7500], [0.3583, 0.6417, 0.2500], [0.4512, 0.5488, 0.7500], [0.5488, 0.4512, 0.2500], [0.6417, 0.3583, 0.7500]],
  "energy_ev_per_atom": -4.88,
  "delta_e_f_ev_per_atom": -0.24
}

***

Record 4
{
  "formula": "YErAg4",
  "functional": "PBE",
  "state": "relaxed",
  "cell": [[0.0000, 4.0280, 4.0280], [4.0280, 0.0000, 4.0280], [4.0280, 4.0280, 0.0000]],
  "species": ["Y", "Er", "Ag", "Ag", "Ag", "Ag"],
  "frac_coords": [[0.0000, 0.0000, 0.0000], [0.7500, 0.7500, 0.7500], [0.3751, 0.3751, 0.3751], [0.3751, 0.3751, 0.8748], [0.3751, 0.8748, 0.3751], [0.8748, 0.3751, 0.3751]],
  "energy_ev_per_atom": -3.92,
  "delta_e_f_ev_per_atom": -0.18
}

***

Record 5
{
  "formula": "YEr3Ag2",
  "functional": "PBE",
  "state": "relaxed",
  "cell": [[3.5931, 0.0000, 0.0000], [0.0000, 3.5931, 0.0000], [0.0000, 0.0000, 12.1959]],
  "species": ["Y", "Er", "Er", "Er", "Ag", "Ag"],
  "frac_coords": [[0.0000, 0.0000, 0.0000], [0.5000, 0.5000, 0.2033], [0.5000, 0.5000, 0.5000], [0.5000, 0.5000, 0.7967], [0.0000, 0.0000, 0.3512], [0.0000, 0.0000, 0.6488]],
  "energy_ev_per_atom": -4.52,
  "delta_e_f_ev_per_atom": -0.21
}

***

Record 6
{
  "formula": "Y3ErAg2",
  "functional": "PBE",
  "state": "relaxed",
  "cell": [[5.0923, 0.0000, 0.0000], [0.0000, 9.1276, 0.0000], [0.0000, 0.0000, 6.9576]],
  "species": ["Y", "Y", "Y", "Y", "Y", "Y", "Er", "Er", "Ag", "Ag", "Ag", "Ag"],
  "frac_coords": [[0.0000, 0.0633, 0.0000], [0.0000, 0.3313, 0.3615], [0.0000, 0.6687, 0.8615], [0.0000, 0.9367, 0.5000], [0.5000, 0.1726, 0.6683], [0.5000, 0.8274, 0.1683], [0.5000, 0.4359, 0.0312], [0.5000, 0.5641, 0.5312], [0.0000, 0.3500, 0.7832], [0.0000, 0.6500, 0.2832], [0.5000, 0.1508, 0.2474], [0.5000, 0.8492, 0.7474]],
  "energy_ev_per_atom": -5.15,
  "delta_e_f_ev_per_atom": -0.21
}

***

Record 7
{
  "formula": "Y4ErAg",
  "functional": "PBE",
  "state": "relaxed",
  "cell": [[2.7232, -10.3882, 0.0000], [2.7232, 10.3882, 0.0000], [0.0000, 0.0000, 6.4360]],
  "species": ["Y", "Y", "Y", "Y", "Y", "Y", "Y", "Y", "Er", "Er", "Ag", "Ag"],
  "frac_coords": [[0.0358, 0.9642, 0.5000], [0.1777, 0.8223, 0.3037], [0.2438, 0.7562, 0.7905], [0.4344, 0.5656, 0.6640], [0.5656, 0.4344, 0.1640], [0.7562, 0.2438, 0.2905], [0.8223, 0.1777, 0.8037], [0.9642, 0.0358, 0.0000], [0.3650, 0.6350, 0.1644], [0.6350, 0.3650, 0.6644], [0.1030, 0.8970, 0.9082], [0.8970, 0.1030, 0.4082]],
  "energy_ev_per_atom": -5.50,
  "delta_e_f_ev_per_atom": 0.04
}

***

Record 8
{
  "formula": "Y3ErAg2",
  "functional": "PBE",
  "state": "relaxed",
  "cell": [[-3.5159, 6.9773, 3.7143], [3.5159, -6.9773, 3.7143], [3.5159, 6.9773, -3.7143]],
  "species": ["Y", "Y", "Y", "Y", "Y", "Y", "Er", "Er", "Ag", "Ag", "Ag", "Ag"],
  "frac_coords": [[0.0220, 0.7500, 0.2720], [0.2500, 0.2500, 0.0000], [0.4780, 0.7500, 0.7280], [0.5220, 0.2500, 0.2720], [0.7500, 0.7500, 0.0000], [0.9780, 0.2500, 0.7280], [0.0000, 0.5000, 0.5000], [0.5000, 0.0000, 0.5000], [0.1411, 0.2029, 0.3440], [0.3589, 0.7029, 0.0618], [0.6411, 0.2971, 0.9382], [0.8589, 0.7971, 0.6560]],
  "energy_ev_per_atom": -4.92,
  "delta_e_f_ev_per_atom": 0.02
}

***

Record 9
{
  "formula": "Y3Er2Ag3",
  "functional": "PBE",
  "state": "relaxed",
  "cell": [[3.6515, 0.0000, 0.0000], [0.0000, 5.2556, 0.0000], [0.0000, 0.0000, 21.5425]],
  "species": ["Y", "Y", "Y", "Y", "Y", "Y", "Er", "Er", "Er", "Er", "Ag", "Ag", "Ag", "Ag", "Ag", "Ag"],
  "frac_coords": [[0.0000, 0.0000, 0.0000], [0.0000, 0.5000, 0.1210], [0.0000, 0.5000, 0.8790], [0.5000, 0.0000, 0.3790], [0.5000, 0.0000, 0.6210], [0.5000, 0.5000, 0.5000], [0.0000, 0.0000, 0.2312], [0.0000, 0.0000, 0.7688], [0.5000, 0.5000, 0.2688], [0.5000, 0.5000, 0.7312], [0.0000, 0.0000, 0.5000], [0.0000, 0.5000, 0.3819], [0.0000, 0.5000, 0.6181], [0.5000, 0.0000, 0.1181], [0.5000, 0.0000, 0.8819], [0.5000, 0.5000, 0.0000]],
  "energy_ev_per_atom": -4.87,
  "delta_e_f_ev_per_atom": -0.24
}

***

Record 10
{
  "formula": "Y2ErAg",
  "functional": "PBE",
  "state": "relaxed",
  "cell": [[3.5620, 0.0000, 0.0000], [0.0000, 3.5620, 0.0000], [0.0000, 0.0000, 8.8664]],
  "species": ["Y", "Y", "Er", "Ag"],
  "frac_coords": [[0.0000, 0.0000, 0.2164], [0.0000, 0.0000, 0.7836], [0.5000, 0.5000, 0.5000], [0.5000, 0.5000, 0.0000]],
  "energy_ev_per_atom": -5.22,
  "delta_e_f_ev_per_atom": -0.13
}

***

Record 11
{
  "formula": "Y6Er2Ag",
  "functional": "PBE",
  "state": "relaxed",
  "cell": [[10.0728, 0.0000, 0.0000], [0.0000, 10.0862, 0.0000], [0.0000, 0.0000, 5.3599]],
  "species": ["Y", "Y", "Y", "Y", "Y", "Y", "Y", "Y", "Y", "Y", "Y", "Y", "Er", "Er", "Er", "Er", "Ag", "Ag"],
  "frac_coords": [[0.0400, 0.1816, 0.0000], [0.1233, 0.6220, 0.5000], [0.1816, 0.9578, 0.5000], [0.3184, 0.4578, 0.0000], [0.3767, 0.1220, 0.0000], [0.4600, 0.6816, 0.5000], [0.5400, 0.3184, 0.5000], [0.6233, 0.8780, 0.0000], [0.6816, 0.5422, 0.0000], [0.8184, 0.0422, 0.5000], [0.8767, 0.3780, 0.5000], [0.9600, 0.8184, 0.0000], [0.2139, 0.2840, 0.5000], [0.2861, 0.7840, 0.0000], [0.7139, 0.2160, 0.0000], [0.7861, 0.7160, 0.5000], [0.0000, 0.5000, 0.0000], [0.5000, 0.0000, 0.5000]],
  "energy_ev_per_atom": -5.62,
  "delta_e_f_ev_per_atom": 0.02
}

***

Record 12
{
  "formula": "YEr2Ag3",
  "functional": "PBE",
  "state": "relaxed",
  "cell": [[3.6000, 0.0000, 0.0000], [0.0000, 3.6000, 0.0000], [0.0000, 0.0000, 10.9523]],
  "species": ["Y", "Er", "Er", "Ag", "Ag", "Ag"],
  "frac_coords": [[0.0000, 0.0000, 0.0000], [0.0000, 0.0000, 0.3346], [0.0000, 0.0000, 0.6654], [0.5000, 0.5000, 0.1710], [0.5000, 0.5000, 0.5000], [0.5000, 0.5000, 0.8290]],
  "energy_ev_per_atom": -4.36,
  "delta_e_f_ev_per_atom": -0.34
}

***

Record 13
{
  "formula": "Y4ErAg5",
  "functional": "PBE",
  "state": "relaxed",
  "cell": [[3.6070, 0.0000, 0.0000], [0.0000, 3.6070, 0.0000], [0.0000, 0.0000, 18.4774]],
  "species": ["Y", "Y", "Y", "Y", "Er", "Ag", "Ag", "Ag", "Ag", "Ag"],
  "frac_coords": [[0.0000, 0.0000, 0.1005], [0.0000, 0.0000, 0.3015], [0.0000, 0.0000, 0.6985], [0.0000, 0.0000, 0.8995], [0.0000, 0.0000, 0.5000], [0.5000, 0.5000, 0.0000], [0.5000, 0.5000, 0.2010], [0.5000, 0.5000, 0.4031], [0.5000, 0.5000, 0.5969], [0.5000, 0.5000, 0.7990]],
  "energy_ev_per_atom": -4.80,
  "delta_e_f_ev_per_atom": -0.33
}

***

Record 14
{
  "formula": "YErAg2",
  "functional": "PBE",
  "state": "relaxed",
  "cell": [[3.6099, 0.0000, 0.0000], [0.0000, 3.6099, 0.0000], [0.0000, 0.0000, 7.3129]],
  "species": ["Y", "Er", "Ag", "Ag"],
  "frac_coords": [[0.0000, 0.0000, 0.0000], [0.0000, 0.0000, 0.5000], [0.5000, 0.5000, 0.2579], [0.5000, 0.5000, 0.7421]],
  "energy_ev_per_atom": -4.51,
  "delta_e_f_ev_per_atom": -0.33
}

***

Record 15
{
  "formula": "Y5ErAg",
  "functional": "PBE",
  "state": "relaxed",
  "cell": [[5.8887, -3.1993, 0.0000], [5.8887, 3.1993, 0.0000], [-5.2635, 0.0000, 11.3629]],
  "species": ["Y", "Y", "Y", "Y", "Y", "Y", "Y", "Y", "Y", "Y", "Er", "Er", "Ag", "Ag"],
  "frac_coords": [[0.2227, 0.2464, 0.6868], [0.2343, 0.7657, 0.7500], [0.2464, 0.2227, 0.1868], [0.3289, 0.3479, 0.9746], [0.3479, 0.3289, 0.4746], [0.6521, 0.6711, 0.5254], [0.6711, 0.6521, 0.0254], [0.7536, 0.7773, 0.8132], [0.7657, 0.2343, 0.2500], [0.7773, 0.7536, 0.3132], [0.2485, 0.7515, 0.2500], [0.7515, 0.2485, 0.7500], [0.0000, 0.0000, 0.0000], [0.0000, 0.0000, 0.5000]],
  "energy_ev_per_atom": -5.55,
  "delta_e_f_ev_per_atom": 0.13
}

***

Record 16
{
  "formula": "Y2Er2Ag3",
  "functional": "PBE",
  "state": "relaxed",
  "cell": [[8.7865, 0.0000, 0.0000], [0.0000, 5.0602, 0.0000], [-2.9609, 0.0000, 8.2903]],
  "species": ["Y", "Y", "Y", "Y", "Er", "Er", "Er", "Er", "Ag", "Ag", "Ag", "Ag", "Ag", "Ag"],
  "frac_coords": [[0.1261, 0.0000, 0.3791], [0.3739, 0.5000, 0.6209], [0.6261, 0.5000, 0.3791], [0.8739, 0.0000, 0.6209], [0.1236, 0.5000, 0.8708], [0.3764, 0.0000, 0.1292], [0.6236, 0.0000, 0.8708], [0.8764, 0.5000, 0.1292], [0.0000, 0.0000, 0.0000], [0.2480, 0.5000, 0.2463], [0.2520, 0.0000, 0.7537], [0.5000, 0.5000, 0.0000], [0.7480, 0.0000, 0.2463], [0.7520, 0.5000, 0.7537]],
  "energy_ev_per_atom": -4.55,
  "delta_e_f_ev_per_atom": -0.17
}

***

Record 17
{
  "formula": "Y2ErAg4",
  "functional": "PBE",
  "state": "relaxed",
  "cell": [[7.0872, 0.0000, 0.0000], [0.0000, 7.0872, 0.0000], [0.0000, 0.0000, 7.2422]],
  "species": ["Y", "Y", "Y", "Y", "Er", "Er", "Ag", "Ag", "Ag", "Ag", "Ag", "Ag", "Ag", "Ag"],
  "frac_coords": [[0.0000, 0.5000, 0.0000], [0.0000, 0.5000, 0.5000], [0.5000, 0.0000, 0.0000], [0.5000, 0.0000, 0.5000], [0.0000, 0.0000, 0.0000], [0.5000, 0.5000, 0.5000], [0.2500, 0.2500, 0.2500], [0.2500, 0.2500, 0.7500], [0.2500, 0.7500, 0.2500], [0.2500, 0.7500, 0.7500], [0.7500, 0.2500, 0.2500], [0.7500, 0.2500, 0.7500], [0.7500, 0.7500, 0.2500], [0.7500, 0.7500, 0.7500]],
  "energy_ev_per_atom": -4.23,
  "delta_e_f_ev_per_atom": -0.10
}

***

Record 18
{
  "formula": "YEr2Ag2",
  "functional": "PBE",
  "state": "relaxed",
  "cell": [[3.6069, 0.0000, 0.0000], [0.0000, 5.2258, 0.0000], [-1.8037, 0.0000, 13.3682]],
  "species": ["Y", "Y", "Er", "Er", "Er", "Er", "Ag", "Ag", "Ag", "Ag"],
  "frac_coords": [[0.1459, 0.2500, 0.2910], [0.8541, 0.7500, 0.7090], [0.0473, 0.7500, 0.0950], [0.2342, 0.7500, 0.4680], [0.7658, 0.2500, 0.5320], [0.9527, 0.2500, 0.9050], [0.3579, 0.2500, 0.7159], [0.4537, 0.7500, 0.9077], [0.5463, 0.2500, 0.0923], [0.6421, 0.7500, 0.2841]],
  "energy_ev_per_atom": -4.51,
  "delta_e_f_ev_per_atom": -0.25
}

***

Record 19
{
  "formula": "YErAg4",
  "functional": "PBE",
  "state": "relaxed",
  "cell": [[9.9881, 0.0000, 0.0000], [0.0000, 3.7066, 0.0000], [-2.8336, 0.0000, 6.9643]],
  "species": ["Y", "Y", "Er", "Er", "Ag", "Ag", "Ag", "Ag", "Ag", "Ag", "Ag", "Ag"],
  "frac_coords": [[0.0000, 0.0000, 0.0000], [0.5000, 0.5000, 0.0000], [0.0000, 0.0000, 0.5000], [0.5000, 0.5000, 0.5000], [0.1688, 0.5000, 0.8310], [0.1696, 0.5000, 0.3379], [0.3304, 0.0000, 0.6621], [0.3312, 0.0000, 0.1690], [0.6688, 0.0000, 0.8310], [0.6696, 0.0000, 0.3379], [0.8304, 0.5000, 0.6621], [0.8312, 0.5000, 0.1690]],
  "energy_ev_per_atom": -4.06,
  "delta_e_f_ev_per_atom": -0.32
}

***

Record 20
{
  "formula": "Y2ErAg",
  "functional": "PBE",
  "state": "relaxed",
  "cell": [[6.8956, 0.0000, 0.0000], [0.0000, 9.7222, 0.0000], [0.0000, 0.0000, 6.7917]],
  "species": ["Y", "Y", "Y", "Y", "Y", "Y", "Y", "Y", "Er", "Er", "Er", "Er", "Ag", "Ag", "Ag", "Ag"],
  "frac_coords": [[0.2082, 0.0507, 0.2049], [0.2082, 0.4493, 0.2049], [0.2918, 0.5507, 0.7049], [0.2918, 0.9493, 0.7049], [0.7082, 0.0507, 0.2951], [0.7082, 0.4493, 0.2951], [0.7918, 0.5507, 0.7951], [0.7918, 0.9493, 0.7951], [0.0084, 0.2500, 0.6058], [0.4916, 0.7500, 0.1058], [0.5084, 0.2500, 0.8942], [0.9916, 0.7500, 0.3942], [0.0656, 0.7500, 0.9781], [0.4344, 0.2500, 0.4781], [0.5656, 0.7500, 0.5219], [0.9344, 0.2500, 0.0219]],
  "energy_ev_per_atom": -5.21,
  "delta_e_f_ev_per_atom": -0.13
}

***

Record 21
{
  "formula": "Y2ErAg",
  "functional": "PBE",
  "state": "relaxed",
  "cell": [[3.6110, 0.0000, 0.0000], [-1.8055, 3.1272, 0.0000], [0.0000, 0.0000, 30.8249]],
  "species": ["Y", "Y", "Y", "Y", "Y", "Y", "Er", "Er", "Er", "Ag", "Ag", "Ag"],
  "frac_coords": [[0.0000, 0.0000, 0.0000], [0.0000, 0.0000, 0.1835], [0.3333, 0.6667, 0.6667], [0.3333, 0.6667, 0.8502], [0.6667, 0.3333, 0.3333], [0.6667, 0.3333, 0.5169], [0.0000, 0.0000, 0.7582], [0.3333, 0.6667, 0.4249], [0.6667, 0.3333, 0.0915], [0.0000, 0.0000, 0.5919], [0.3333, 0.6667, 0.2585], [0.6667, 0.3333, 0.9252]],
  "energy_ev_per_atom": -5.10,
  "delta_e_f_ev_per_atom": -0.01
}

***

Record 22
{
  "formula": "Y2ErAg",
  "functional": "PBE",
  "state": "relaxed",
  "cell": [[11.4911, 0.0000, 0.0000], [0.0000, 6.9729, 0.0000], [-3.7108, 0.0000, 5.6195]],
  "species": ["Y", "Y", "Y", "Y", "Y", "Y", "Y", "Y", "Er", "Er", "Er", "Er", "Ag", "Ag", "Ag", "Ag"],
  "frac_coords": [[0.2045, 0.0384, 0.1680], [0.2045, 0.9616, 0.6680], [0.2955, 0.4616, 0.8320], [0.2955, 0.5384, 0.3320], [0.7045, 0.4616, 0.6680], [0.7045, 0.5384, 0.1680], [0.7955, 0.0384, 0.3320], [0.7955, 0.9616, 0.8320], [0.0000, 0.3388, 0.2500], [0.0000, 0.6612, 0.7500], [0.5000, 0.1612, 0.7500], [0.5000, 0.8388, 0.2500], [0.0000, 0.2545, 0.7500], [0.0000, 0.7455, 0.2500], [0.5000, 0.2455, 0.2500], [0.5000, 0.7545, 0.7500]],
  "energy_ev_per_atom": -5.21,
  "delta_e_f_ev_per_atom": -0.12
}

***

Record 23
{
  "formula": "YEr2Ag2",
  "functional": "PBE",
  "state": "relaxed",
  "cell": [[5.2257, 0.0000, 0.0000], [0.0000, 4.8314, 0.0000], [-0.9657, 0.0000, 10.8865]],
  "species": ["Y", "Y", "Er", "Er", "Er", "Er", "Ag", "Ag", "Ag", "Ag"],
  "frac_coords": [[0.1961, 0.2500, 0.2421], [0.8039, 0.7500, 0.7579], [0.2498, 0.7500, 0.4945], [0.3415, 0.2500, 0.8888], [0.6585, 0.7500, 0.1112], [0.7502, 0.2500, 0.5055], [0.1446, 0.7500, 0.0090], [0.2756, 0.2500, 0.6350], [0.7244, 0.7500, 0.3650], [0.8554, 0.2500, 0.9910]],
  "energy_ev_per_atom": -4.36,
  "delta_e_f_ev_per_atom": -0.10
}

***

Record 24
{
  "formula": "Y3ErAg",
  "functional": "PBE",
  "state": "relaxed",
  "cell": [[5.7029, -4.2453, 0.0000], [5.7029, 4.2453, 0.0000], [-4.2548, 0.0000, 6.5099]],
  "species": ["Y", "Y", "Y", "Y", "Y", "Y", "Er", "Er", "Ag", "Ag"],
  "frac_coords": [[0.0492, 0.0492, 0.3129], [0.1105, 0.5181, 0.2970], [0.4819, 0.8895, 0.7030], [0.5181, 0.1105, 0.2970], [0.8895, 0.4819, 0.7030], [0.9508, 0.9508, 0.6871], [0.4209, 0.4209, 0.7278], [0.5791, 0.5791, 0.2722], [0.2702, 0.2702, 0.9397], [0.7298, 0.7298, 0.0603]],
  "energy_ev_per_atom": -5.32,
  "delta_e_f_ev_per_atom": 0.04
}